The following is a DFT calculation (PBE-GGA) of an optimized crystal structure of TmLuSc2In2.

Lattice parameters (Å, degrees): 5.1427 5.1427 6.5035 90.00 90.00 120.00
With the nearest neighbours (Å) after each atom.
Fractional positions:
1 In 0.3333 0.6667 0.2501  5 Sc 2.97-3.25
2 In 0.6667 0.3333 0.7499  5 Sc 2.97-3.25
3 Lu 0.0000 0.0000 0.5000  2 Tm 3.25, 6 Sc 3.38, 6 In 3.38
4 Sc 0.6667 0.3333 0.2502  5 In 2.97-3.25
5 Sc 0.3333 0.6667 0.7498  5 In 2.97-3.25
6 Tm 0.0000 0.0000 0.0000  2 Lu 3.25, 6 In 3.39, 6 Sc 3.39

Values from the calculation:
* theoretical density: 7.40 g/cm3
* VASP energy: -29.31 eV/f.u.
* space-group type: P-3m1 (164)
* crystal system: trigonal



The following is a DFT calculation (PBE-GGA) of an optimized crystal structure of TmLu2ScIn2.

Lattice parameters (Å, degrees): 5.1932 5.1932 6.5524 90.00 90.00 120.00
With the nearest neighbours (Å) after each atom.
Fractional positions:
1 In 0.0000 0.0000 0.0000  3 Tm 3.00, 2 Sc 3.28
2 In 0.3333 0.6667 0.5000  3 Sc 3.00, 2 Tm 3.28
3 Lu 0.6667 0.3333 0.2547  2 Lu 3.21-3.34, 3 Sc 3.40, 6 In 3.40-3.43, 3 Tm 3.43
4 Lu 0.6667 0.3333 0.7453  2 Lu 3.21-3.34, 3 Sc 3.40, 6 In 3.40-3.43, 3 Tm 3.43
5 Sc 0.0000 0.0000 0.5000  5 In 3.00-3.28
6 Tm 0.3333 0.6667 0.0000  5 In 3.00-3.28

Values from the calculation:
* theoretical density: 8.61 g/cm3
* VASP energy: -27.37 eV/f.u.
* space-group type: P-6m2 (187)
* crystal system: hexagonal